# 1
Density functional theory data (PBE) for HfNiAsSe2 after structural relaxation.

Lattice parameters (Å, degrees): 5.106 5.106 5.187 90.00 90.00 90.00
Sites, in units of the cell vectors:
Hf 0.000 0.000 0.000
Se 0.000 0.500 0.000
Se 0.500 0.000 0.000
As 0.000 0.000 0.500
Ni 0.500 0.500 0.500

Calculated values
ΔE to the lowest computed polymorph in meV/atom: 232
SG: P4/mmm
Formation energy without anion corrections in eV per atom: 0.3626
N(E_F) in states/eV per cell: 10.20
Calculated volume in Å³ per cell: 135.3

# 2
Density functional theory data (PBE) for HfNiAsSe2 after structural relaxation.

Lattice parameters (Å, degrees): 4.659 4.659 4.501 90.00 90.00 90.00
Sites, in units of the cell vectors:
As 0.000 0.000 0.500
Se 0.500 0.000 0.000
Se 0.000 0.500 0.000
Hf 0.500 0.500 0.500
Ni 0.000 0.000 0.000

Calculated values
ΔE to the lowest computed polymorph in meV/atom: 0
SG: P4/mmm
Formation energy without anion corrections in eV per atom: 0.1301
N(E_F) in states/eV per cell: 3.79
Calculated volume in Å³ per cell: 97.7